[1]
Below is an optimized crystal structure of LaLu2Ni, with properties calculated at the PBE level.

Structure (CIF):
```
data_LaLu2Ni
_cell_length_a 3.3938
_cell_length_b 3.3938
_cell_length_c 8.8055
_cell_angle_alpha 90.00
_cell_angle_beta 90.00
_cell_angle_gamma 90.00
_symmetry_space_group_name_H-M 'P 4/m m m'
_symmetry_Int_Tables_number 123
_symmetry_space_group_name_Hall '-P 4 2'
loop_
_atom_site_label
_atom_site_type_symbol
_atom_site_fract_x
_atom_site_fract_y
_atom_site_fract_z
La1 La 0.0000 0.0000 0.0000
Lu1 Lu 0.5000 0.5000 0.3219
Ni1 Ni 0.0000 0.0000 0.5000
```

Calculated values
E: -5.163 eV per atom
N(E_F): 3.8 states/eV/f.u.
ΔE_f: -225 meV/atom
Total moment: 0.0 μB/f.u.

[2]
Below is an optimized crystal structure of LaLuNi2, with properties calculated at the PBE level.

Structure (CIF):
```
data_LaLuNi2
_cell_length_a 3.4060
_cell_length_b 3.4060
_cell_length_c 6.8839
_cell_angle_alpha 90.00
_cell_angle_beta 90.00
_cell_angle_gamma 90.00
_symmetry_space_group_name_H-M 'P 4/m m m'
_symmetry_Int_Tables_number 123
_symmetry_space_group_name_Hall '-P 4 2'
loop_
_atom_site_label
_atom_site_type_symbol
_atom_site_fract_x
_atom_site_fract_y
_atom_site_fract_z
La1 La 0.0000 0.0000 0.0000
Lu1 Lu 0.0000 0.0000 0.5000
Ni1 Ni 0.5000 0.5000 0.2822
```

Calculated values
E: -5.597 eV per atom
N(E_F): 3.8 states/eV/f.u.
Energy relative to the lowest polymorph listed for this composition: 0.0000 eV per atom
ΔE_f: -344 meV/atom
Total moment: 0.0 μB/f.u.

[3]
Below is an optimized crystal structure of LaLuNi2, with properties calculated at the PBE level.

Structure (CIF):
```
data_LaLuNi2
_cell_length_a 6.8631
_cell_length_b 6.8631
_cell_length_c 6.8631
_cell_angle_alpha 90.00
_cell_angle_beta 90.00
_cell_angle_gamma 90.00
_symmetry_space_group_name_H-M 'F m -3 m'
_symmetry_Int_Tables_number 225
_symmetry_space_group_name_Hall '-F 4 2 3'
loop_
_atom_site_label
_atom_site_type_symbol
_atom_site_fract_x
_atom_site_fract_y
_atom_site_fract_z
La1 La 0.0000 0.0000 0.0000
Lu1 Lu 0.0000 0.0000 0.5000
Ni1 Ni 0.2500 0.2500 0.2500
```

Calculated values
E: -5.574 eV per atom
N(E_F): 3.8 states/eV/f.u.
Energy relative to the lowest polymorph listed for this composition: 0.0229 eV per atom
ΔE_f: -321 meV/atom
Total moment: 0.0 μB/f.u.

[4]
Below is an optimized crystal structure of LaLuNiOs, with properties calculated at the PBE level.

Structure (CIF):
```
data_LaLuNiOs
_cell_length_a 6.8895
_cell_length_b 6.8895
_cell_length_c 6.8895
_cell_angle_alpha 90.00
_cell_angle_beta 90.00
_cell_angle_gamma 90.00
_symmetry_space_group_name_H-M 'F -4 3 m'
_symmetry_Int_Tables_number 216
_symmetry_space_group_name_Hall 'F -4 2 3'
loop_
_atom_site_label
_atom_site_type_symbol
_atom_site_fract_x
_atom_site_fract_y
_atom_site_fract_z
La1 La 0.0000 0.0000 0.0000
Lu1 Lu 0.0000 0.0000 0.5000
Ni1 Ni 0.2500 0.2500 0.7500
Os1 Os 0.2500 0.2500 0.2500
```

Calculated values
E: -6.814 eV per atom
N(E_F): 2.9 states/eV/f.u.
ΔE_f: -199 meV/atom
Total moment: 0.0 μB/f.u.

Among the records above, which one has the lowest ΔE_f?
number 2

ΔE_f of number 4 (LaLuNiOs)?
-199 meV/atom